VASP calculation (PBE) on BaSb2Ir after structural relaxation.

Lattice parameters (Å, degrees): 7.086 7.086 7.086 36.38 36.38 36.38
Positions (direct):
Sb1 0.468 0.468 0.468
Sb2 0.032 0.032 0.032
Ir1 0.750 0.750 0.750
Ba1 0.250 0.250 0.250

**Crystal system**: trigonal
**D(E_F)**: 2.1 states/eV/f.u.
**Raw formation energy**: -2.29 eV per formula unit
**Symmetry**: No. 166
**Magnetization**: 0.00 μB/f.u.